[1]
Li2LuZn | GGA-PBE | optimized geometry

The structure belongs to space group Fm-3m (No. 225); the cell edges are 6.622, 6.622 and 6.622 Å and the angles 90.00°, 90.00° and 90.00°. The distinct sites, in fractional coordinates, are Li at (0.250, 0.250, 0.250), Lu at (0.000, 0.000, 0.000) and Zn at (0.000, 0.000, 0.500).

The value obtained for the raw total energy is -2.38 eV/atom. The mass density is 5.8 g cm⁻³.



[2]
LiLu2Zn | GGA-PBE | optimized geometry

The structure belongs to space group P4/mmm (No. 123); the cell edges are 4.981, 4.981 and 3.570 Å and the angles 90.00°, 90.00° and 90.00°. The distinct sites, in fractional coordinates, are Li at (0.000, 0.000, 0.000), Lu at (0.000, 0.500, 0.500) and Zn at (0.500, 0.500, 0.000).

The value obtained for the raw total energy is -3.18 eV/atom. The mass density is 7.9 g cm⁻³.



[3]
LiLuZrZn | GGA-PBE | optimized geometry

The structure belongs to space group F-43m (No. 216); the cell edges are 6.862, 6.862 and 6.862 Å and the angles 90.00°, 90.00° and 90.00°. The distinct sites, in fractional coordinates, are Li at (0.000, 0.000, 0.000), Lu at (0.250, 0.250, 0.750), Zr at (0.250, 0.250, 0.250) and Zn at (0.000, 0.000, 0.500).

The value obtained for the raw total energy is -4.08 eV/atom. The mass density is 7.0 g cm⁻³.



[4]
LiLu2Zr | GGA-PBE | optimized geometry

The structure belongs to space group P4/mmm (No. 123); the cell edges are 5.442, 5.442 and 3.380 Å and the angles 90.00°, 90.00° and 90.00°. The distinct sites, in fractional coordinates, are Li at (0.000, 0.000, 0.000), Lu at (0.000, 0.500, 0.500) and Zr at (0.500, 0.500, 0.000).

The value obtained for the raw total energy is -4.68 eV/atom. The mass density is 7.4 g cm⁻³.



[5]
LiLu2Zr | GGA-PBE | optimized geometry

The structure belongs to space group P4/mmm (No. 123); the cell edges are 3.375, 3.375 and 8.887 Å and the angles 90.00°, 90.00° and 90.00°. The distinct sites, in fractional coordinates, are Li at (0.000, 0.000, 0.000), Lu at (0.500, 0.500, 0.251) and Zr at (0.000, 0.000, 0.500).

The value obtained for the raw total energy is -4.81 eV/atom. The mass density is 7.4 g cm⁻³.



[6]
Li4Mg | GGA-PBE | optimized geometry

The structure belongs to space group Pm-3m (No. 221); the cell edges are 5.240, 5.240 and 5.240 Å and the angles 90.00°, 90.00° and 90.00°. The distinct sites, in fractional coordinates, are Li at (0.000, 0.000, 0.000), Li at (0.000, 0.500, 0.500) and Mg at (0.500, 0.500, 0.500).

The value obtained for the raw total energy is -1.49 eV/atom. The mass density is 0.6 g cm⁻³.



| no. | energy of formation from the pure elements (eV per atom) | total magnetization (Bohr magnetons per cell) |
| --- | --- | --- |
| 1 | 0.029 | 0.74 |
| 2 | -0.123 | 0.00 |
| 3 | -0.019 | 0.07 |
| 4 | 0.192 | 0.00 |
| 5 | 0.063 | 0.00 |
| 6 | 0.355 | 0.00 |